DFT (PBE+U) results for a relaxed structure of NaAs2WF.

Results
Calculated total energy in eV/cell: -13.69
Total magnetic moment in Bohr magnetons per cell: 2.9

Lattice parameters (Å, degrees): 4.8551 5.5368 4.8551 90.00 90.00 90.00
Each line ends with the local moment (μB).
Fractional positions:
1 F 0.5000 0.5000 0.5000  -0.07
2 As 0.5000 0.0000 0.0000  -0.28
3 As 0.0000 0.0000 0.5000  -0.26
4 W 0.0000 0.5000 0.0000  3.53
5 Na 0.0000 0.0000 0.0000  0.01